Record 1
{"formula": "TlFeNiHg", "functional": "PBE", "state": "relaxed", "cell": [[-3.6195, -2.3810, 1.6493], [-3.9309, 2.2087, 1.0770], [-3.7792, -0.5832, -2.6207]], "species": ["Hg", "Tl", "Fe", "Ni"], "frac_coords": [[0.2500, 0.2500, 0.2500], [0.0000, 0.0000, 0.0000], [0.5000, 0.5000, 0.5000], [0.7500, 0.7500, 0.7500]], "sg": "F-43m, No. 216", "mass_density_g_cm3": 12.2, "polymorph_energy_ev_per_atom": 0.130}



Record 2
{"formula": "NaTl2PdI6", "functional": "PBE", "state": "relaxed", "cell": [[0.0000, 5.7772, 5.7772], [5.7772, 0.0000, 5.7772], [5.7772, 5.7772, 0.0000]], "species": ["I", "I", "I", "I", "I", "I", "Pd", "Tl", "Tl", "Na"], "frac_coords": [[0.7627, 0.2373, 0.2373], [0.7627, 0.2373, 0.7627], [0.2373, 0.7627, 0.2373], [0.7627, 0.7627, 0.2373], [0.2373, 0.2373, 0.7627], [0.2373, 0.7627, 0.7627], [0.0000, 0.0000, 0.0000], [0.2500, 0.2500, 0.2500], [0.7500, 0.7500, 0.7500], [0.5000, 0.5000, 0.5000]], "sg": "Fm-3m, No. 225", "mass_density_g_cm3": 5.6, "final_energy_ev_per_atom": -2.507}



Record 3
{"formula": "PtS2", "functional": "PBE", "state": "relaxed", "cell": [[19.8535, 0.0000, 0.0000], [0.0000, 1.7446, 3.0141], [0.0000, -1.7446, 3.0141]], "species": ["S", "S", "S", "S", "Pt", "Pt"], "frac_coords": [[0.0699, 0.3414, 0.3414], [0.4301, 0.8383, 0.8383], [0.5699, 0.8383, 0.8383], [0.9301, 0.3414, 0.3414], [0.5000, 0.1727, 0.1727], [0.0000, 0.0074, 0.0074]], "sg": "Cmcm, No. 63", "mass_density_g_cm3": 4.1, "final_energy_ev_per_atom": -4.532}



Record 4
{"formula": "PrDy3Pt4", "functional": "PBE", "state": "relaxed", "cell": [[-0.5489, -4.0368, -3.8565], [4.0960, -1.6089, 1.1011], [-2.9749, -4.1933, 4.9394]], "species": ["Pt", "Pt", "Pt", "Pt", "Pr", "Dy", "Dy", "Dy"], "frac_coords": [[0.3460, 0.0000, 0.4619], [0.1609, 0.0000, 0.9510], [0.6499, 0.5000, 0.5562], [0.8432, 0.5000, 0.0311], [0.8582, 0.0000, 0.3170], [0.6405, 0.0000, 0.8183], [0.1419, 0.5000, 0.6843], [0.3594, 0.5000, 0.1802]], "sg": "Pm, No. 6", "mass_density_g_cm3": 12.9, "ef_ev_per_atom": -1.2382}



Record 5
{"formula": "NdYNi2B2C2", "functional": "PBE", "state": "relaxed", "cell": [[-2.2958, -2.8308, -0.3779], [2.8431, -2.3113, 0.0414], [-0.5590, -0.5527, 7.5367]], "species": ["Ni", "Ni", "C", "C", "Y", "B", "B", "Nd"], "frac_coords": [[0.0000, 0.5000, 0.9984], [0.5000, 0.0000, 0.9984], [0.5000, 0.5000, 0.6619], [0.0000, 0.0000, 0.3413], [0.0000, 0.0000, 0.6679], [0.0000, 0.0000, 0.1438], [0.5000, 0.5000, 0.8587], [0.5000, 0.5000, 0.3297]], "sg": "P4mm, No. 99", "mass_density_g_cm3": 6.5, "final_energy_ev_per_atom": -7.210}



Record 6
{"formula": "SmCuSi2Ni", "functional": "PBE", "state": "relaxed", "cell": [[4.2093, -2.2902, 2.9781], [2.8108, 3.1945, 3.7050], [-5.3590, -1.1943, -1.2990]], "species": ["Ni", "Si", "Si", "Sm", "Cu"], "frac_coords": [[0.5000, 0.5000, 0.0000], [0.8744, 0.3744, 0.5000], [0.6256, 0.1256, 0.5000], [0.2500, 0.7500, 0.5000], [0.0000, 0.0000, 0.0000]], "sg": "I-4m2, No. 119", "mass_density_g_cm3": 6.9, "final_energy_ev_per_atom": -5.683}



Record 7
{"formula": "BePd2", "functional": "PBE", "state": "relaxed", "cell": [[1.3244, -4.2025, -2.5495], [-2.8624, -1.6309, -3.8809], [1.7379, 0.3590, -4.7713]], "species": ["Pd", "Pd", "Pd", "Pd", "Be", "Be"], "frac_coords": [[0.1250, 0.6250, 0.6250], [0.6250, 0.1250, 0.6250], [0.6250, 0.6250, 0.1250], [0.6250, 0.6250, 0.6250], [0.2500, 0.2500, 0.2500], [0.0000, 0.0000, 0.0000]], "sg": "Fd-3m, No. 227", "mass_density_g_cm3": 7.9, "polymorph_energy_ev_per_atom": 0.940}



Record 8
{"formula": "BaAlHgAu", "functional": "PBE", "state": "relaxed", "cell": [[0.0000, 3.7751, 3.7751], [3.7751, 0.0000, 3.7751], [3.7751, 3.7751, 0.0000]], "species": ["Al", "Ba", "Au", "Hg"], "frac_coords": [[0.0000, 0.0000, 0.0000], [0.5000, 0.5000, 0.5000], [0.7500, 0.7500, 0.7500], [0.2500, 0.2500, 0.2500]], "sg": "F-43m, No. 216", "mass_density_g_cm3": 8.7, "polymorph_energy_ev_per_atom": 0.000}



Number 1: calculated volume 17.61 Å³/atom. Number 2: calculated volume 38.56 Å³/atom. Number 3: calculated volume 34.80 Å³/atom. Number 4: calculated volume 22.68 Å³/atom. Number 5: calculated volume 12.72 Å³/atom. Number 6: calculated volume 15.85 Å³/atom. Number 7: calculated volume 15.55 Å³/atom. Number 8: calculated volume 26.90 Å³/atom.